ScAlTc GGA-PBE optimized geometry; VASP energy = -7.28 eV per atom; distance to the lowest polymorph of the same formula = 0.0252 eV per atom
1.0
8.6419 0.0000 0.0000
0.0000 2.6477 4.5339
0.0000 -2.6477 4.5339
Sc Al Tc
4 4 4
Direct
0.1773 0.0000 0.0000 Sc
0.3123 0.6632 0.6632 Sc
0.6877 0.6632 0.6632 Sc
0.8227 0.0000 0.0000 Sc
0.2484 0.3232 0.3232 Al
0.5000 0.1646 0.6745 Al
0.5000 0.6745 0.1646 Al
0.7516 0.3232 0.3232 Al
0.0000 0.4961 0.4961 Tc
0.0000 0.5034 0.9805 Tc
0.0000 0.9805 0.5034 Tc
0.5000 0.1645 0.1645 Tc